YAsW2O (PBE with a Hubbard U, relaxed); DOS at the Fermi energy = 2.2 states/eV/f.u.; SG = No. 123; VASP energy = -4.7336 eV/atom
1.0
4.683 0.000 0.000
0.000 5.556 0.000
0.000 0.000 4.683
As W Y O
1 2 1 1
direct
0.000 0.000 0.000
0.500 0.000 0.000
0.000 0.000 0.500
0.000 0.500 0.000
0.500 0.500 0.500